1.
{
  "formula": "Pm2HoEr",
  "functional": "PBE-GGA",
  "state": "relaxed",
  "cell": [[5.084, 0.000, 0.000], [0.000, 5.084, 0.000], [0.000, 0.000, 5.025]],
  "species": ["Pm", "Pm", "Ho", "Er"],
  "frac_coords": [[0.000, 0.500, 0.000], [0.500, 0.000, 0.000], [0.000, 0.000, 0.500], [0.500, 0.500, 0.500]],
  "space_group": "No. 123",
  "m_tot_mub_per_fu": 0.00,
  "formation_enthalpy_0k_kj_per_mol_fu": 8,
  "polymorph_energy_mev_per_atom": 6.9
}

---

2.
{
  "formula": "BeReS2",
  "functional": "PBE-GGA",
  "state": "relaxed",
  "cell": [[1.497, 0.864, 7.236], [-1.497, 0.864, 7.236], [0.000, -1.729, 7.236]],
  "species": ["Be", "Re", "S", "S"],
  "frac_coords": [[0.000, 0.000, 0.000], [0.500, 0.500, 0.500], [0.395, 0.395, 0.395], [0.605, 0.605, 0.605]],
  "space_group": "No. 166",
  "m_tot_mub_per_fu": 0.00,
  "e_form_raw_ev_per_atom": 0.08
}

---

3.
{
  "formula": "V2Cr3",
  "functional": "PBE-GGA",
  "state": "relaxed",
  "cell": [[2.502, -4.166, 0.000], [2.502, 4.166, 0.000], [0.000, 0.000, 6.308]],
  "species": ["V", "V", "V", "V", "Cr", "Cr", "Cr", "Cr", "Cr", "Cr"],
  "frac_coords": [[0.150, 0.850, 0.897], [0.350, 0.650, 0.397], [0.650, 0.350, 0.603], [0.850, 0.150, 0.103], [0.000, 0.000, 0.500], [0.124, 0.376, 0.750], [0.376, 0.124, 0.250], [0.500, 0.500, 0.000], [0.624, 0.876, 0.750], [0.876, 0.624, 0.250]],
  "space_group": "No. 64",
  "m_tot_mub_per_fu": 0.00,
  "formation_enthalpy_0k_kj_per_mol_fu": 182,
  "polymorph_energy_mev_per_atom": 469.3
}

---

4.
{
  "formula": "CsCa3Ag",
  "functional": "PBE-GGA",
  "state": "relaxed",
  "cell": [[6.084, 0.000, 0.000], [0.000, 6.084, 0.000], [0.000, 0.000, 6.084]],
  "species": ["Cs", "Ca", "Ca", "Ca", "Ag"],
  "frac_coords": [[0.000, 0.000, 0.000], [0.000, 0.500, 0.500], [0.500, 0.000, 0.500], [0.500, 0.500, 0.000], [0.500, 0.500, 0.500]],
  "space_group": "No. 221",
  "m_tot_mub_per_fu": 0.00,
  "formation_enthalpy_0k_kj_per_mol_fu": 8,
  "polymorph_energy_mev_per_atom": 0.0
}

---

5.
{
  "formula": "SrAc2Ag",
  "functional": "PBE-GGA",
  "state": "relaxed",
  "cell": [[2.196, -6.867, 0.000], [2.196, 6.867, 0.000], [0.000, 0.000, 10.520]],
  "species": ["Sr", "Sr", "Ac", "Ac", "Ac", "Ac", "Ag", "Ag"],
  "frac_coords": [[0.065, 0.935, 0.750], [0.935, 0.065, 0.250], [0.359, 0.641, 0.557], [0.359, 0.641, 0.943], [0.641, 0.359, 0.057], [0.641, 0.359, 0.443], [0.243, 0.757, 0.250], [0.757, 0.243, 0.750]],
  "space_group": "No. 63",
  "m_tot_mub_per_fu": 0.00,
  "formation_enthalpy_0k_kj_per_mol_fu": -32,
  "polymorph_energy_mev_per_atom": 0.0
}

---

6.
{
  "formula": "LiCaSc2Se4",
  "functional": "PBE-GGA",
  "state": "relaxed",
  "cell": [[6.772, 0.000, 0.000], [0.000, 3.931, 0.000], [-2.263, 0.000, 6.636]],
  "species": ["Li", "Ca", "Sc", "Sc", "Se", "Se", "Se", "Se"],
  "frac_coords": [[0.000, 0.000, 0.000], [0.500, 0.500, 0.000], [0.000, 0.500, 0.500], [0.500, 0.000, 0.500], [0.239, 0.000, 0.735], [0.249, 0.500, 0.263], [0.751, 0.500, 0.737], [0.761, 0.000, 0.265]],
  "space_group": "No. 10",
  "m_tot_mub_per_fu": 0.00,
  "e_form_raw_ev_per_atom": -1.70
}

---

7.
{
  "formula": "ZrTi2Rh3",
  "functional": "PBE-GGA",
  "state": "relaxed",
  "cell": [[3.059, 0.000, 0.000], [0.000, 3.059, 0.000], [0.000, 0.000, 10.234]],
  "species": ["Zr", "Ti", "Ti", "Rh", "Rh", "Rh"],
  "frac_coords": [[0.000, 0.000, 0.000], [0.000, 0.000, 0.342], [0.000, 0.000, 0.658], [0.500, 0.500, 0.200], [0.500, 0.500, 0.500], [0.500, 0.500, 0.800]],
  "space_group": "No. 123",
  "m_tot_mub_per_fu": 0.00,
  "formation_enthalpy_0k_kj_per_mol_fu": -443
}

---

8.
{
  "formula": "CaCrTc2",
  "functional": "PBE-GGA",
  "state": "relaxed",
  "cell": [[3.063, 0.000, 0.000], [0.000, 3.063, 0.000], [0.000, 0.000, 7.257]],
  "species": ["Ca", "Cr", "Tc", "Tc"],
  "frac_coords": [[0.000, 0.000, 0.000], [0.000, 0.000, 0.500], [0.500, 0.500, 0.317], [0.500, 0.500, 0.683]],
  "space_group": "No. 123",
  "m_tot_mub_per_fu": 0.00,
  "formation_enthalpy_0k_kj_per_mol_fu": 149,
  "polymorph_energy_mev_per_atom": 163.7
}

---

9.
{
  "formula": "MnGePHCN",
  "functional": "PBE-GGA",
  "state": "relaxed",
  "cell": [[4.682, -1.398, 0.000], [4.682, 1.398, 0.000], [-4.430, 0.000, 5.203]],
  "species": ["Mn", "Ge", "P", "H", "C", "N"],
  "frac_coords": [[0.000, 0.000, 0.000], [0.688, 0.688, 0.888], [0.835, 0.835, 0.536], [0.450, 0.450, 0.362], [0.446, 0.446, 0.519], [0.615, 0.615, 0.249]],
  "space_group": "No. 8",
  "m_tot_mub_per_fu": 1.63,
  "polymorph_energy_mev_per_atom": 59.4
}

---

10.
{
  "formula": "BeC2",
  "functional": "PBE-GGA",
  "state": "relaxed",
  "cell": [[-0.940, 0.940, 6.823], [0.940, -0.940, 6.823], [0.940, 0.940, -6.823]],
  "species": ["Be", "C", "C"],
  "frac_coords": [[0.000, 0.000, 0.000], [0.393, 0.393, 0.000], [0.607, 0.607, 0.000]],
  "space_group": "No. 139",
  "m_tot_mub_per_fu": 0.00,
  "formation_enthalpy_0k_kj_per_mol_fu": 617,
  "polymorph_energy_mev_per_atom": 1744.9
}

---

11.
{
  "formula": "Mg2SiP",
  "functional": "PBE-GGA",
  "state": "relaxed",
  "cell": [[-2.134, 2.134, 3.830], [2.134, -2.134, 3.830], [2.134, 2.134, -3.830]],
  "species": ["Mg", "Mg", "Si", "P"],
  "frac_coords": [[0.250, 0.750, 0.500], [0.750, 0.250, 0.500], [0.000, 0.000, 0.000], [0.500, 0.500, 0.000]],
  "space_group": "No. 139",
  "m_tot_mub_per_fu": 0.00,
  "e_form_raw_ev_per_atom": 0.01,
  "polymorph_energy_mev_per_atom": 46.1
}

---

12.
{
  "formula": "Na5Te4Pb",
  "functional": "PBE-GGA",
  "state": "relaxed",
  "cell": [[-2.405, 4.987, 6.685], [2.405, -4.987, 6.685], [2.405, 4.987, -6.685]],
  "species": ["Na", "Na", "Na", "Na", "Na", "Te", "Te", "Te", "Te", "Pb"],
  "frac_coords": [[0.000, 0.000, 0.000], [0.132, 0.836, 0.295], [0.459, 0.164, 0.295], [0.541, 0.836, 0.705], [0.868, 0.164, 0.705], [0.197, 0.500, 0.697], [0.265, 0.265, 0.000], [0.735, 0.735, 0.000], [0.803, 0.500, 0.303], [0.500, 0.500, 0.000]],
  "space_group": "No. 71",
  "m_tot_mub_per_fu": 0.00,
  "e_form_raw_ev_per_atom": -0.61
}

---

13.
{
  "formula": "Li2Cd2In4Hg3",
  "functional": "PBE-GGA",
  "state": "relaxed",
  "cell": [[4.630, 0.000, 0.000], [-2.315, 4.010, 0.000], [0.000, 0.000, 14.763]],
  "species": ["Li", "Li", "Cd", "Cd", "In", "In", "In", "In", "Hg", "Hg", "Hg"],
  "frac_coords": [[0.333, 0.667, 0.149], [0.667, 0.333, 0.851], [0.333, 0.667, 0.555], [0.667, 0.333, 0.445], [0.333, 0.667, 0.344], [0.333, 0.667, 0.913], [0.667, 0.333, 0.087], [0.667, 0.333, 0.656], [0.000, 0.000, 0.000], [0.000, 0.000, 0.239], [0.000, 0.000, 0.761]],
  "space_group": "No. 164",
  "m_tot_mub_per_fu": 0.00,
  "formation_enthalpy_0k_kj_per_mol_fu": -49
}

---

14.
{
  "formula": "Y2Ge4RuPt3",
  "functional": "PBE-GGA",
  "state": "relaxed",
  "cell": [[4.197, 0.000, 0.000], [0.000, 4.197, 0.000], [0.000, 0.000, 10.514]],
  "species": ["Y", "Y", "Ge", "Ge", "Ge", "Ge", "Ru", "Pt", "Pt", "Pt"],
  "frac_coords": [[0.000, 0.500, 0.248], [0.500, 0.000, 0.752], [0.000, 0.000, 0.500], [0.000, 0.500, 0.870], [0.500, 0.000, 0.130], [0.500, 0.500, 0.500], [0.500, 0.500, 0.000], [0.000, 0.000, 0.000], [0.000, 0.500, 0.638], [0.500, 0.000, 0.362]],
  "space_group": "No. 115",
  "m_tot_mub_per_fu": 0.00,
  "formation_enthalpy_0k_kj_per_mol_fu": -826
}

---

15.
{
  "formula": "CoPtN2",
  "functional": "PBE-GGA",
  "state": "relaxed",
  "cell": [[1.393, 0.804, 6.083], [-1.393, 0.804, 6.083], [0.000, -1.609, 6.083]],
  "species": ["Co", "Pt", "N", "N"],
  "frac_coords": [[0.000, 0.000, 0.000], [0.500, 0.500, 0.500], [0.391, 0.391, 0.391], [0.609, 0.609, 0.609]],
  "space_group": "No. 166",
  "m_tot_mub_per_fu": 0.57,
  "e_form_raw_ev_per_atom": 0.39,
  "polymorph_energy_mev_per_atom": 0.0
}

---

16.
{
  "formula": "In3IrCl",
  "functional": "PBE-GGA",
  "state": "relaxed",
  "cell": [[5.198, 0.000, 0.000], [0.000, 5.198, 0.000], [0.000, 0.000, 5.198]],
  "species": ["In", "In", "In", "Ir", "Cl"],
  "frac_coords": [[0.000, 0.000, 0.500], [0.000, 0.500, 0.000], [0.500, 0.000, 0.000], [0.000, 0.000, 0.000], [0.500, 0.500, 0.500]],
  "space_group": "No. 221",
  "m_tot_mub_per_fu": 0.00,
  "e_form_raw_ev_per_atom": -0.43,
  "polymorph_energy_mev_per_atom": 6.6
}

---

17.
{
  "formula": "HfZn3Ir",
  "functional": "PBE-GGA",
  "state": "relaxed",
  "cell": [[4.977, 0.000, 0.000], [0.000, 4.977, 0.000], [0.000, 0.000, 4.977]],
  "species": ["Hf", "Zn", "Zn", "Zn", "Ir"],
  "frac_coords": [[0.000, 0.000, 0.000], [0.000, 0.000, 0.500], [0.000, 0.500, 0.000], [0.500, 0.000, 0.000], [0.500, 0.500, 0.500]],
  "space_group": "No. 221",
  "m_tot_mub_per_fu": 0.12,
  "formation_enthalpy_0k_kj_per_mol_fu": 846,
  "polymorph_energy_mev_per_atom": 1275.3
}

---

18.
{
  "formula": "Li2ScMn",
  "functional": "PBE-GGA",
  "state": "relaxed",
  "cell": [[2.924, 0.000, 0.000], [0.000, 4.614, 0.000], [0.000, 0.000, 5.300]],
  "species": ["Li", "Li", "Sc", "Mn"],
  "frac_coords": [[0.000, 0.000, 0.229], [0.000, 0.000, 0.771], [0.500, 0.500, 0.500], [0.500, 0.500, 0.000]],
  "space_group": "No. 47",
  "m_tot_mub_per_fu": 2.72,
  "formation_enthalpy_0k_kj_per_mol_fu": 132,
  "polymorph_energy_mev_per_atom": 183.2
}

---

19.
{
  "formula": "Sn2GeWC",
  "functional": "PBE-GGA",
  "state": "relaxed",
  "cell": [[5.396, 0.000, 0.000], [0.000, 5.396, 0.000], [0.000, 0.000, 3.994]],
  "species": ["Sn", "Sn", "Ge", "W", "C"],
  "frac_coords": [[0.000, 0.500, 0.000], [0.500, 0.000, 0.000], [0.000, 0.000, 0.500], [0.500, 0.500, 0.000], [0.500, 0.500, 0.500]],
  "space_group": "No. 123",
  "m_tot_mub_per_fu": 0.00,
  "formation_enthalpy_0k_kj_per_mol_fu": 504
}

---

20.
{
  "formula": "Sm12Tm7Mg",
  "functional": "PBE-GGA",
  "state": "relaxed",
  "cell": [[-5.724, 5.724, 5.724], [5.724, -5.724, 5.724], [5.724, 5.724, -5.724]],
  "species": ["Sm", "Sm", "Sm", "Sm", "Sm", "Sm", "Sm", "Sm", "Sm", "Sm", "Sm", "Sm", "Tm", "Tm", "Tm", "Tm", "Tm", "Tm", "Tm", "Mg"],
  "frac_coords": [[0.001, 0.751, 0.250], [0.249, 0.250, 0.499], [0.249, 0.750, 0.999], [0.250, 0.001, 0.751], [0.250, 0.499, 0.249], [0.499, 0.249, 0.250], [0.501, 0.751, 0.750], [0.750, 0.501, 0.751], [0.750, 0.999, 0.249], [0.751, 0.250, 0.001], [0.751, 0.750, 0.501], [0.999, 0.249, 0.750], [0.000, 0.000, 0.500], [0.000, 0.500, 0.000], [0.000, 0.500, 0.500], [0.500, 0.000, 0.000], [0.500, 0.000, 0.500], [0.500, 0.500, 0.000], [0.500, 0.500, 0.500], [0.000, 0.000, 0.000]],
  "space_group": "No. 204",
  "m_tot_mub_per_fu": 0.00,
  "formation_enthalpy_0k_kj_per_mol_fu": 1360,
  "polymorph_energy_mev_per_atom": 622.5
}

---

21.
{
  "formula": "Sr2ZnGeN",
  "functional": "PBE-GGA",
  "state": "relaxed",
  "cell": [[7.257, 0.000, 0.000], [0.000, 3.798, 0.000], [-3.003, 0.000, 8.642]],
  "species": ["Sr", "Sr", "Sr", "Sr", "Zn", "Zn", "Ge", "Ge", "N", "N"],
  "frac_coords": [[0.184, 0.250, 0.371], [0.196, 0.250, 0.969], [0.804, 0.750, 0.031], [0.816, 0.750, 0.629], [0.456, 0.750, 0.245], [0.544, 0.250, 0.755], [0.299, 0.750, 0.696], [0.701, 0.250, 0.304], [0.175, 0.750, 0.169], [0.825, 0.250, 0.831]],
  "space_group": "No. 11",
  "m_tot_mub_per_fu": 0.00,
  "e_form_raw_ev_per_atom": -0.53,
  "polymorph_energy_mev_per_atom": 0.0
}

---

22.
{
  "formula": "K2YRh",
  "functional": "PBE-GGA",
  "state": "relaxed",
  "cell": [[1.831, -2.759, 0.000], [1.831, 2.759, 0.000], [0.000, 0.000, 12.424]],
  "species": ["K", "K", "Y", "Rh"],
  "frac_coords": [[0.000, 0.000, 0.200], [0.000, 0.000, 0.800], [0.500, 0.500, 0.500], [0.500, 0.500, 0.000]],
  "space_group": "No. 65",
  "m_tot_mub_per_fu": 0.55,
  "formation_enthalpy_0k_kj_per_mol_fu": 293,
  "polymorph_energy_mev_per_atom": 811.7
}

---

23.
{
  "formula": "K2CrCo",
  "functional": "PBE-GGA",
  "state": "relaxed",
  "cell": [[3.197, -5.466, 0.000], [3.197, 5.466, 0.000], [-0.121, 0.000, 3.219]],
  "species": ["K", "K", "Cr", "Co"],
  "frac_coords": [[0.000, 0.500, 0.000], [0.500, 0.000, 0.000], [0.000, 0.000, 0.500], [0.500, 0.500, 0.500]],
  "space_group": "No. 12",
  "m_tot_mub_per_fu": 6.52,
  "formation_enthalpy_0k_kj_per_mol_fu": 512,
  "polymorph_energy_mev_per_atom": 545.5
}